Entry 1:
The following is a PBE calculation of Sr2MgZn7 after structural relaxation, from Alexandria via LeMat-Bulk.

POSCAR file:
```
Sr2MgZn7
1.0
4.305 0.000 0.000
0.000 4.305 0.000
0.000 0.000 11.617
Sr Mg Zn
2 1 7
direct
0.500 0.000 0.741 Sr
0.000 0.500 0.259 Sr
0.500 0.500 0.000 Mg
0.000 0.500 0.855 Zn
0.500 0.000 0.369 Zn
0.500 0.000 0.145 Zn
0.000 0.500 0.631 Zn
0.000 0.000 0.500 Zn
0.000 0.000 0.000 Zn
0.500 0.500 0.500 Zn
```

M_tot ... 0.000 μB/atom
SG ... P-4m2, No. 115
Electronic total energy ... -1.60 eV/atom


Entry 2:
The following is a PBE calculation of Sr2Mg3Zn2 after structural relaxation, from Alexandria via LeMat-Bulk.

POSCAR file:
```
Sr2Mg3Zn2
1.0
4.536 0.000 0.000
-2.268 5.147 -2.775
0.000 0.244 8.131
Sr Mg Zn
2 3 2
direct
0.864 0.728 0.224 Sr
0.136 0.272 0.776 Sr
0.500 0.000 0.000 Mg
0.641 0.282 0.433 Mg
0.359 0.718 0.567 Mg
0.854 0.708 0.793 Zn
0.146 0.292 0.207 Zn
```

M_tot ... 0.000 μB/atom
SG ... C2/m, No. 12
Electronic total energy ... -1.68 eV/atom


Entry 3:
The following is a PBE calculation of SrMg2Zn after structural relaxation, from Alexandria via LeMat-Bulk.

POSCAR file:
```
SrMg2Zn
1.0
-3.071 4.277 0.294
-3.442 -2.151 -3.366
1.423 -2.580 4.373
Mg Sr Zn
2 1 1
direct
0.000 0.000 0.000 Mg
0.750 0.250 0.500 Mg
0.500 0.500 0.000 Sr
0.251 0.751 0.500 Zn
```

M_tot ... 0.000 μB/atom
SG ... I-4m2, No. 119
Electronic total energy ... -1.59 eV/atom


Entry 4:
The following is a PBE calculation of SrMg2Zn2 after structural relaxation, from Alexandria via LeMat-Bulk.

POSCAR file:
```
SrMg2Zn2
1.0
8.044 0.000 0.000
0.000 8.044 0.000
0.000 0.000 3.812
Sr Zn Mg
2 4 4
direct
0.000 0.000 0.000 Sr
0.500 0.500 0.000 Sr
0.382 0.882 0.000 Zn
0.882 0.618 0.000 Zn
0.618 0.118 0.000 Zn
0.118 0.382 0.000 Zn
0.167 0.667 0.500 Mg
0.667 0.833 0.500 Mg
0.833 0.333 0.500 Mg
0.333 0.167 0.500 Mg
```

M_tot ... 0.000 μB/atom
SG ... P4/mbm, No. 127
Electronic total energy ... -1.52 eV/atom
Energy above the lowest structure with this stoichiometry ... 150 meV per atom


Entry 5:
The following is a PBE calculation of Sr4MgZn after structural relaxation, from Alexandria via LeMat-Bulk.

POSCAR file:
```
Sr4MgZn
1.0
5.721 0.000 0.000
0.000 5.724 -0.001
0.007 0.008 8.218
Sr Mg Zn
4 1 1
direct
0.501 0.997 0.261 Sr
0.501 0.998 0.735 Sr
0.001 0.498 0.735 Sr
0.001 0.497 0.261 Sr
0.501 0.497 0.998 Mg
0.001 0.997 0.498 Zn
```

M_tot ... 0.000 μB/atom
SG ... C2/m, No. 12
Electronic total energy ... -1.52 eV/atom
Energy above the lowest structure with this stoichiometry ... 158 meV per atom


Entry 6:
The following is a PBE calculation of Sr16Mg12Zn after structural relaxation, from Alexandria via LeMat-Bulk.

POSCAR file:
```
Sr16Mg12Zn
1.0
10.121 0.055 -4.072
-4.950 8.829 -4.072
0.077 0.133 12.472
Sr Mg Zn
16 12 1
direct
0.380 0.380 0.340 Sr
0.003 0.003 0.008 Sr
0.001 0.001 0.710 Sr
0.256 0.256 0.626 Sr
0.642 0.411 0.997 Sr
0.581 0.239 0.573 Sr
0.978 0.741 0.371 Sr
0.001 0.629 0.001 Sr
0.745 0.358 0.337 Sr
0.390 0.993 0.695 Sr
0.993 0.390 0.695 Sr
0.358 0.745 0.337 Sr
0.629 0.001 0.001 Sr
0.741 0.978 0.371 Sr
0.239 0.581 0.573 Sr
0.411 0.642 0.997 Sr
0.816 0.816 0.120 Mg
0.617 0.617 0.798 Mg
0.358 0.166 0.013 Mg
0.817 0.633 0.664 Mg
0.187 0.999 0.312 Mg
0.384 0.993 0.175 Mg
0.188 0.807 0.843 Mg
0.807 0.188 0.843 Mg
0.993 0.384 0.175 Mg
0.999 0.187 0.312 Mg
0.633 0.817 0.664 Mg
0.166 0.358 0.013 Mg
0.690 0.690 0.438 Zn
```

M_tot ... 0.000 μB/atom
SG ... Cm, No. 8
Electronic total energy ... -1.64 eV/atom


Entry 7:
The following is a PBE calculation of Sr2MgZn3 after structural relaxation, from Alexandria via LeMat-Bulk.

POSCAR file:
```
Sr2MgZn3
1.0
-4.685 -2.963 -3.159
-0.284 -3.710 5.182
-2.974 8.412 2.323
Sr Mg Zn
4 2 6
direct
0.250 0.750 0.500 Sr
0.753 0.753 0.000 Sr
0.750 0.250 0.500 Sr
0.247 0.247 0.000 Sr
0.666 0.666 0.333 Mg
0.334 0.334 0.667 Mg
0.323 0.839 0.162 Zn
0.161 0.677 0.838 Zn
0.677 0.161 0.838 Zn
0.839 0.323 0.162 Zn
0.162 0.162 0.323 Zn
0.838 0.838 0.677 Zn
```

M_tot ... 0.000 μB/atom
SG ... Fmmm, No. 69
Electronic total energy ... -1.63 eV/atom
Energy above the lowest structure with this stoichiometry ... 6 meV per atom


Entry 8:
The following is a PBE calculation of SrMgZn3 after structural relaxation, from Alexandria via LeMat-Bulk.

POSCAR file:
```
SrMgZn3
1.0
-0.216 3.953 -4.600
-6.255 1.598 1.666
5.116 3.358 2.646
Sr Mg Zn
2 2 6
direct
0.750 0.667 0.333 Sr
0.250 0.333 0.667 Sr
0.000 0.000 0.000 Mg
0.500 0.000 0.000 Mg
0.750 0.594 0.797 Zn
0.250 0.797 0.594 Zn
0.250 0.406 0.203 Zn
0.750 0.203 0.406 Zn
0.250 0.797 0.203 Zn
0.750 0.203 0.797 Zn
```

M_tot ... 0.000 μB/atom
SG ... P6_3/mmc, No. 194
Electronic total energy ... -1.53 eV/atom
Energy above the lowest structure with this stoichiometry ... 70 meV per atom